PmSc2MoO8: relaxed, GGA+U.

POSCAR file:
```
PmSc2MoO8
1.0
3.4303 -3.4430 0.0000
3.4303 3.4430 0.0000
0.0000 0.0000 6.7107
Pm Sc Mo O
1 2 1 8
direct
0.0000 0.0000 0.0000
0.5000 0.5000 0.2605
0.5000 0.5000 0.7395
0.0000 0.0000 0.5000
0.1936 0.8064 0.2913
0.1936 0.8064 0.7087
0.2885 0.2885 0.5000
0.3281 0.3281 0.0000
0.6719 0.6719 0.0000
0.7115 0.7115 0.5000
0.8064 0.1936 0.2913
0.8064 0.1936 0.7087
```

Calculated values
The space group is No. 65. Its total DFT energy (no corrections) is -7.97 eV/atom. As for the density of states at the Fermi level: 3.30 states/eV/cell.